(1)
First-principles (PBE) data for a relaxed structure of HoScZnNi, as listed in Alexandria.

The structure in POSCAR format:
```
HoScZnNi
1.0
0.000 3.364 3.364
3.364 0.000 3.364
3.364 3.364 0.000
Ho Sc Zn Ni
1 1 1 1
Cartesian
0.000 0.000 0.000
3.364 3.364 3.364
5.046 5.046 5.046
1.682 1.682 1.682
```

Results
- Offset from the most stable computed form: 0.038 eV per atom
- SG: No. 216
- Formation energy from the elements: -0.36 eV per atom
- Total magnetic moment: 0.0 μB per formula unit



(2)
First-principles (PBE) data for a relaxed structure of TaMn2Mo, as listed in Alexandria.

The structure in POSCAR format:
```
TaMn2Mo
1.0
3.074 0.000 0.000
0.000 3.074 0.000
0.000 0.000 6.037
Ta Mn Mo
1 2 1
Cartesian
0.000 0.000 0.000
0.000 0.000 2.890
1.537 1.537 1.418
1.537 1.537 4.286
```

Results
- Offset from the most stable computed form: 0.083 eV per atom
- SG: No. 99
- Formation energy from the elements: 0.05 eV per atom
- Total magnetic moment: 1.5 μB per formula unit



(3)
First-principles (PBE) data for a relaxed structure of RbCaTl2, as listed in Alexandria.

The structure in POSCAR format:
```
RbCaTl2
1.0
1.952 1.127 11.228
-1.952 1.127 11.228
0.000 -2.254 11.228
Rb Ca Tl
1 1 2
Cartesian
0.000 0.000 0.000
0.000 0.000 16.842
0.000 0.000 8.108
0.000 0.000 25.577
```

Results
- Offset from the most stable computed form: 0.136 eV per atom
- SG: No. 166
- Formation energy from the elements: -0.07 eV per atom
- Total magnetic moment: 0.0 μB per formula unit